No. 1
Material: Er2AlFe3
Method: DFT, GGA-PBEsol
State: relaxed

Properties
The energy relative to the elements comes out at -0.211 eV/atom. The space-group type is No. 166. The value obtained for the final energy is -42.1 eV for the cell shown. For the magnetization, the calculation gives 0.612 μB/atom.

Cell lengths 5.0719, 5.0719, 5.0719 Å; angles 60.27, 60.27, 60.27 degrees
With the nearest neighbours (Å) after each atom.
Element x y z (fractional)
Fe: 0.0000 0.0000 0.5000  2 Al 2.54, 4 Fe 2.55
Fe: 0.5000 0.0000 0.0000  2 Al 2.54, 4 Fe 2.55
Fe: 0.0000 0.5000 0.0000  2 Al 2.54, 4 Fe 2.55
Er: 0.6222 0.6222 0.6222  9 Fe 2.96-3.00, 3 Al 2.99, 4 Er 3.03-3.14
Er: 0.3778 0.3778 0.3778  9 Fe 2.96-3.00, 3 Al 2.99, 4 Er 3.03-3.14
Al: 0.0000 0.0000 0.0000  6 Fe 2.54


No. 2
Material: K2AgSb
Method: DFT, GGA-PBEsol
State: relaxed

Properties
The space-group type is No. 160. The value obtained for the final energy is -11.3 eV for the cell shown. For the magnetization, the calculation gives 0.000 μB/atom.

Cell lengths 5.0092, 5.0092, 6.3727 Å; angles 90.01, 113.14, 119.99 degrees
With the nearest neighbours (Å) after each atom.
Element x y z (fractional)
Sb: 0.0804 0.5401 0.6205  3 Ag 2.89
Ag: 0.4172 0.2086 0.6258  3 Sb 2.89
K: 0.9703 0.9852 0.9554  4 Ag 3.45-3.81, 3 Sb 3.46, 4 K 3.49-3.73
K: 0.5322 0.7661 0.2983  3 Sb 3.42, 3 Ag 3.44, 4 K 3.49-3.73


No. 3
Material: HfBe2Pb2
Method: DFT, GGA-PBEsol
State: relaxed

Properties
The energy relative to the elements comes out at 0.541 eV/atom. The space-group type is No. 139. The value obtained for the final energy is -23.8 eV for the cell shown. For the magnetization, the calculation gives 0.000 μB/atom.

Cell lengths 3.5818, 3.5818, 7.7283 Å; angles 103.40, 103.40, 90.00 degrees
With the nearest neighbours (Å) after each atom.
Element x y z (fractional)
Be: 0.2500 0.7500 0.5000  4 Be 2.53, 4 Pb 2.59
Be: 0.7500 0.2500 0.5000  4 Be 2.53, 4 Pb 2.59
Pb: 0.6216 0.6216 0.2432  4 Be 2.59
Pb: 0.3784 0.3784 0.7568  4 Be 2.59
Hf: 0.0000 0.0000 0.0000  8 Pb 3.09


No. 4
Material: MgPb2Br
Method: DFT, GGA-PBEsol
State: relaxed

Properties
The space-group type is No. 99. The value obtained for the final energy is -12.9 eV for the cell shown. As for the offset from the most stable computed form: 0 meV per atom. For the magnetization, the calculation gives 0.000 μB/atom.

Cell lengths 3.4269, 3.4269, 9.5576 Å; angles 90.00, 90.00, 90.00 degrees
With the nearest neighbours (Å) after each atom.
Element x y z (fractional)
Pb: 0.0000 0.0000 0.9697  4 Mg 3.31, 8 Pb 3.41-3.43
Pb: 0.5000 0.5000 0.2210  8 Pb 3.41-3.43
Br: 0.0000 0.0000 0.5756  4 Mg 2.86
Mg: 0.5000 0.5000 0.7337  4 Br 2.86


No. 5
Material: La2YAl
Method: DFT, GGA-PBEsol
State: relaxed

Properties
The energy relative to the elements comes out at -0.115 eV/atom. The space-group type is No. 123. The value obtained for the final energy is -22.1 eV for the cell shown. For the magnetization, the calculation gives 0.000 μB/atom.

Cell lengths 3.6197, 3.6197, 9.0802 Å; angles 90.00, 90.00, 90.00 degrees
With the nearest neighbours (Å) after each atom.
Element x y z (fractional)
Al: 0.5000 0.5000 0.5000  8 La 3.22
Y: 0.5000 0.5000 0.0000  4 Y 3.62, 8 La 3.64
La: 0.0000 0.0000 0.2846  4 Al 3.22
La: 0.0000 0.0000 0.7154  4 Al 3.22


No. 6
Material: Tl4O3
Method: DFT, GGA-PBEsol
State: relaxed

Properties
The space-group type is No. 11. The value obtained for the final energy is -61.3 eV for the cell shown. For the magnetization, the calculation gives 0.000 μB/atom.

Cell lengths 3.4735, 7.5449, 10.8363 Å; angles 108.98, 90.00, 90.00 degrees
With the nearest neighbours (Å) after each atom.
Element x y z (fractional)
Tl: 0.7500 0.7752 0.8690  3 O 2.51-2.64
Tl: 0.2500 0.4249 0.6100  6 O 2.24-2.35
Tl: 0.7500 0.0672 0.3658  1 O 2.42
Tl: 0.7500 0.5751 0.3900  6 O 2.24-2.35
Tl: 0.2500 0.7003 0.1447  3 O 2.49-2.64
Tl: 0.2500 0.9328 0.6342  1 O 2.42
Tl: 0.7500 0.2997 0.8553  3 O 2.49-2.64
Tl: 0.2500 0.2248 0.1310  3 O 2.51-2.64
O: 0.7500 0.2201 0.5992  3 Tl 2.30-2.42
O: 0.2500 0.7799 0.4008  3 Tl 2.30-2.42
O: 0.7500 0.4779 0.1709  5 Tl 2.24-2.51
O: 0.2500 0.3642 0.3881  3 Tl 2.30-2.35
O: 0.7500 0.6358 0.6119  3 Tl 2.30-2.35
O: 0.2500 0.5221 0.8291  5 Tl 2.24-2.51


No. 7
Material: YSi2Sb
Method: DFT, GGA-PBEsol
State: relaxed

Properties
The space-group type is No. 122. The value obtained for the final energy is -46.0 eV for the cell shown. For the magnetization, the calculation gives 0.000 μB/atom.

Cell lengths 5.9074, 6.2248, 6.2248 Å; angles 76.99, 61.67, 61.67 degrees
With the nearest neighbours (Å) after each atom.
Element x y z (fractional)
Si: 0.1112 0.0138 0.5138  2 Sb 2.77, 2 Y 2.91, 2 Si 2.96
Si: 0.6388 0.9862 0.4862  2 Sb 2.77, 2 Y 2.91, 2 Si 2.96
Si: 0.3750 0.5138 0.9862  2 Sb 2.77, 2 Y 2.91, 2 Si 2.96
Si: 0.8750 0.4862 0.0138  2 Sb 2.77, 2 Y 2.91, 2 Si 2.96
Sb: 0.0000 0.0000 0.0000  4 Si 2.77, 2 Y 2.95
Sb: 0.7500 0.5000 0.5000  4 Si 2.77, 2 Y 2.95
Y: 0.5000 0.0000 0.0000  4 Si 2.91, 2 Sb 2.95
Y: 0.2500 0.5000 0.5000  4 Si 2.91, 2 Sb 2.95


No. 8
Material: Nb3AlSb
Method: DFT, GGA-PBEsol
State: relaxed

Properties
The space-group type is No. 221. The value obtained for the final energy is -36.1 eV for the cell shown. For the magnetization, the calculation gives 0.001 μB/atom.

Cell lengths 4.6874, 4.6874, 4.6874 Å; angles 90.00, 90.00, 90.00 degrees
With the nearest neighbours (Å) after each atom.
Element x y z (fractional)
Nb: 0.0000 0.5000 0.0000  2 Al 2.34
Nb: 0.0000 0.0000 0.5000  2 Al 2.34
Nb: 0.5000 0.0000 0.0000  2 Al 2.34
Sb: 0.5000 0.5000 0.5000  12 Nb 3.31
Al: 0.0000 0.0000 0.0000  6 Nb 2.34


No. 9
Material: Ag2AsPt
Method: DFT, GGA-PBEsol
State: relaxed

Properties
The energy relative to the elements comes out at 0.021 eV/atom. The space-group type is No. 44. The value obtained for the final energy is -18.6 eV for the cell shown. For the magnetization, the calculation gives 0.000 μB/atom.

Cell lengths 3.5559, 4.3775, 5.1414 Å; angles 115.20, 110.23, 90.00 degrees
With the nearest neighbours (Å) after each atom.
Element x y z (fractional)
As: 0.5278 0.5278 0.0557  2 Pt 2.45
Ag: 0.7624 0.2624 0.5249  4 Pt 2.84, 4 As 2.89-2.98, 4 Ag 2.91-2.97
Ag: 0.9852 0.9852 0.9703  4 As 2.84, 4 Pt 2.86-3.00, 4 Ag 2.91-2.97
Pt: 0.2246 0.7246 0.4491  2 As 2.45


No. 10
Material: Ba2SrIr
Method: DFT, GGA-PBEsol
State: relaxed

Properties
The energy relative to the elements comes out at -0.029 eV/atom. The space-group type is No. 38. The value obtained for the final energy is -16.1 eV for the cell shown. As for the offset from the most stable computed form: 18 meV per atom. For the magnetization, the calculation gives 0.000 μB/atom.

Cell lengths 4.3951, 6.2013, 7.3740 Å; angles 114.86, 90.00, 90.00 degrees
With the nearest neighbours (Å) after each atom.
Element x y z (fractional)
Ba: 0.0000 0.0071 0.0143  2 Ir 3.10
Ba: 0.5000 0.3520 0.7040  2 Ir 2.97
Ir: 0.0000 0.5016 0.0033  2 Sr 2.92, 4 Ba 2.97-3.10
Sr: 0.5000 0.6454 0.2907  2 Ir 2.92


No. 11
Material: TaTl2Se
Method: DFT, GGA-PBEsol
State: relaxed

Properties
The space-group type is No. 71. The value obtained for the final energy is -21.1 eV for the cell shown. As for the offset from the most stable computed form: 0 meV per atom. For the magnetization, the calculation gives 0.000 μB/atom.

Cell lengths 3.1393, 4.1486, 7.8853 Å; angles 105.25, 101.48, 90.00 degrees
With the nearest neighbours (Å) after each atom.
Element x y z (fractional)
Ta: 0.5000 0.0000 0.0000  4 Se 2.60
Se: 0.0000 0.5000 0.0000  4 Ta 2.60
Tl: 0.1814 0.1814 0.3628  2 Ta 3.12, 6 Tl 3.14-3.31, 2 Se 3.41
Tl: 0.8186 0.8186 0.6372  2 Ta 3.12, 6 Tl 3.14-3.31, 2 Se 3.41


No. 12
Material: Cd3CuMo
Method: DFT, GGA-PBEsol
State: relaxed

Properties
The energy relative to the elements comes out at 1.033 eV/atom. The space-group type is No. 221. The value obtained for the final energy is -14.5 eV for the cell shown. For the magnetization, the calculation gives 0.644 μB/atom.

Cell lengths 4.7337, 4.7337, 4.7337 Å; angles 90.00, 90.00, 90.00 degrees
With the nearest neighbours (Å) after each atom.
Element x y z (fractional)
Cd: 0.5000 0.0000 0.0000  2 Cu 2.37
Cd: 0.0000 0.0000 0.5000  2 Cu 2.37
Cd: 0.0000 0.5000 0.0000  2 Cu 2.37
Cu: 0.0000 0.0000 0.0000  6 Cd 2.37
Mo: 0.5000 0.5000 0.5000  12 Cd 3.35


No. 13
Material: Fe3PdI
Method: DFT, GGA-PBEsol
State: relaxed

Properties
The space-group type is No. 221. The value obtained for the final energy is -28.4 eV for the cell shown. For the magnetization, the calculation gives 1.952 μB/atom.

Cell lengths 4.6470, 4.6470, 4.6470 Å; angles 90.00, 90.00, 90.00 degrees
With the nearest neighbours (Å) after each atom.
Element x y z (fractional)
Fe: 0.0000 0.0000 0.5000  2 Pd 2.32
Fe: 0.5000 0.0000 0.0000  2 Pd 2.32
Fe: 0.0000 0.5000 0.0000  2 Pd 2.32
Pd: 0.0000 0.0000 0.0000  6 Fe 2.32
I: 0.5000 0.5000 0.5000  12 Fe 3.29


No. 14
Material: Ag4Pt7
Method: DFT, GGA-PBEsol
State: relaxed

Properties
The energy relative to the elements comes out at 0.043 eV/atom. The space-group type is No. 1. The value obtained for the final energy is -61.5 eV for the cell shown. As for the offset from the most stable computed form: 52 meV per atom. For the magnetization, the calculation gives 0.000 μB/atom.

Cell lengths 4.7924, 4.8448, 7.4450 Å; angles 96.31, 91.26, 98.93 degrees
With the nearest neighbours (Å) after each atom.
Element x y z (fractional)
Ag: 0.7290 0.3625 0.4548  11 Pt 2.76-2.82, 1 Ag 2.80
Ag: 0.4542 0.7264 0.9078  8 Pt 2.77-2.87, 4 Ag 2.77-2.80
Ag: 0.9085 0.4531 0.8199  5 Ag 2.76-2.82, 7 Pt 2.80-2.85
Ag: 0.9976 0.0040 0.0006  4 Ag 2.76-2.82, 8 Pt 2.76-2.84
Pt: 0.3620 0.1709 0.7225  6 Pt 2.73-2.83, 6 Ag 2.77-2.85
Pt: 0.6342 0.8164 0.2699  8 Pt 2.74-2.83, 4 Ag 2.78-2.82
Pt: 0.0888 0.5506 0.1890  7 Pt 2.74-2.80, 5 Ag 2.79-2.87
Pt: 0.2782 0.6387 0.5468  8 Pt 2.73-2.83, 4 Ag 2.77-2.85
Pt: 0.1852 0.0899 0.3652  9 Pt 2.74-2.82, 3 Ag 2.76-2.81
Pt: 0.8227 0.9085 0.6311  6 Pt 2.73-2.79, 6 Ag 2.77-2.87
Pt: 0.5397 0.2791 0.0924  6 Pt 2.75-2.83, 6 Ag 2.76-2.84


No. 15
Material: NbCu3Sb
Method: DFT, GGA-PBEsol
State: relaxed

Properties
The space-group type is No. 221. The value obtained for the final energy is -21.4 eV for the cell shown. For the magnetization, the calculation gives 0.000 μB/atom.

Cell lengths 4.6892, 4.6892, 4.6892 Å; angles 90.00, 90.00, 90.00 degrees
With the nearest neighbours (Å) after each atom.
Element x y z (fractional)
Cu: 0.0000 0.5000 0.0000  2 Nb 2.34
Cu: 0.5000 0.0000 0.0000  2 Nb 2.34
Cu: 0.0000 0.0000 0.5000  2 Nb 2.34
Sb: 0.5000 0.5000 0.5000  12 Cu 3.32
Nb: 0.0000 0.0000 0.0000  6 Cu 2.34


No. 16
Material: BaTcPS2
Method: DFT, GGA-PBEsol
State: relaxed

Properties
The space-group type is No. 123. The value obtained for the final energy is -31.4 eV for the cell shown. As for the offset from the most stable computed form: 0 meV per atom. For the magnetization, the calculation gives 0.058 μB/atom.

Cell lengths 4.4947, 4.8522, 4.8522 Å; angles 90.00, 90.00, 90.00 degrees
With the nearest neighbours (Å) after each atom.
Element x y z (fractional)
Tc: 0.0000 0.0000 0.0000  2 P 2.25, 4 S 2.43
P: 0.5000 0.0000 0.0000  2 Tc 2.25
Ba: 0.5000 0.5000 0.5000  8 S 3.31, 4 P 3.43
S: 0.0000 0.5000 0.0000  2 Tc 2.43
S: 0.0000 0.0000 0.5000  2 Tc 2.43


No. 17
Material: KHg2Au2
Method: DFT, GGA-PBEsol
State: relaxed

Properties
The energy relative to the elements comes out at -0.096 eV/atom. The space-group type is No. 139. The value obtained for the final energy is -10.6 eV for the cell shown. For the magnetization, the calculation gives 0.000 μB/atom.

Cell lengths 5.0130, 5.0130, 6.2204 Å; angles 113.76, 113.76, 90.00 degrees
With the nearest neighbours (Å) after each atom.
Element x y z (fractional)
Hg: 0.6360 0.6360 0.2721  4 Au 2.76, 1 Hg 2.78
Hg: 0.3640 0.3640 0.7279  4 Au 2.76, 1 Hg 2.78
Au: 0.7500 0.2500 0.5000  4 Hg 2.76
Au: 0.2500 0.7500 0.5000  4 Hg 2.76
K: 0.0000 0.0000 0.0000  8 Au 3.58, 10 Hg 3.72-3.81


No. 18
Material: PrGe2Pt2
Method: DFT, GGA-PBEsol
State: relaxed

Properties
The energy relative to the elements comes out at -0.959 eV/atom. The space-group type is No. 129. The value obtained for the final energy is -67.6 eV for the cell shown. For the magnetization, the calculation gives 0.000 μB/atom.

Cell lengths 4.3460, 4.3460, 9.9377 Å; angles 90.00, 90.00, 90.00 degrees
With the nearest neighbours (Å) after each atom.
Element x y z (fractional)
Ge: 0.5000 0.0000 0.1303  5 Pt 2.45-2.53
Ge: 0.0000 0.5000 0.8697  5 Pt 2.45-2.53
Ge: 0.5000 0.5000 0.5000  4 Pt 2.49
Ge: 0.0000 0.0000 0.5000  4 Pt 2.49
Pt: 0.5000 0.0000 0.3767  5 Ge 2.45-2.49
Pt: 0.0000 0.5000 0.6233  5 Ge 2.45-2.49
Pt: 0.5000 0.5000 0.0000  4 Ge 2.53
Pt: 0.0000 0.0000 0.0000  4 Ge 2.53
Pr: 0.0000 0.5000 0.2536  8 Ge 3.27-3.31, 8 Pt 3.31-3.33
Pr: 0.5000 0.0000 0.7464  8 Ge 3.27-3.31, 8 Pt 3.31-3.33


No. 19
Material: RbNdW2O8
Method: DFT, GGA-PBEsol
State: relaxed

Properties
The space-group type is No. 15. The value obtained for the final energy is -212.3 eV for the cell shown. For the magnetization, the calculation gives 0.000 μB/atom.

Cell lengths 7.5663, 7.5923, 7.5923 Å; angles 90.41, 117.36, 62.64 degrees
With the nearest neighbours (Å) after each atom.
Element x y z (fractional)
Rb: 0.7500 0.7994 0.7994  10 O 2.94-3.15
Rb: 0.2500 0.2006 0.2006  10 O 2.94-3.15
O: 0.5573 0.7542 0.3780  1 W 1.81
O: 0.1356 0.9279 0.3887  1 W 1.84
O: 0.4767 0.5830 0.6301  2 W 1.96-2.10
O: 0.3644 0.3887 0.9279  1 W 1.84
O: 0.5233 0.4170 0.3699  2 W 1.96-2.10
O: 0.6356 0.6113 0.0721  1 W 1.84
O: 0.1891 0.7922 0.0522  1 W 1.80
O: 0.0233 0.6301 0.5830  2 W 1.96-2.10
O: 0.6891 0.9478 0.2078  1 W 1.80
O: 0.8644 0.0721 0.6113  1 W 1.84
O: 0.9767 0.3699 0.4170  2 W 1.96-2.10
O: 0.3109 0.0522 0.7922  1 W 1.80
O: 0.8109 0.2078 0.9478  1 W 1.80
O: 0.9427 0.3780 0.7542  1 W 1.81
O: 0.0573 0.6220 0.2458  1 W 1.81
O: 0.4427 0.2458 0.6220  1 W 1.81
W: 0.2702 0.6964 0.3098  4 O 1.80-1.96
W: 0.2298 0.3098 0.6964  4 O 1.80-1.96
W: 0.7298 0.3036 0.6902  4 O 1.80-1.96
W: 0.7702 0.6902 0.3036  4 O 1.80-1.96
Nd: 0.2500 0.7722 0.7722  6 O 2.36-2.42
Nd: 0.7500 0.2278 0.2278  6 O 2.36-2.42


No. 20
Material: MnRh4
Method: DFT, GGA-PBEsol
State: relaxed

Properties
The energy relative to the elements comes out at -0.045 eV/atom. The space-group type is No. 87. The value obtained for the final energy is -42.5 eV for the cell shown. For the magnetization, the calculation gives 0.542 μB/atom.

Cell lengths 3.7623, 4.5881, 4.5881 Å; angles 80.32, 65.79, 65.79 degrees
With the nearest neighbours (Å) after each atom.
Element x y z (fractional)
Rh: 0.3983 0.8022 0.4012  9 Rh 2.64-2.66, 3 Mn 2.64-2.65
Rh: 0.2005 0.4012 0.1978  9 Rh 2.64-2.66, 3 Mn 2.64-2.65
Rh: 0.6017 0.1978 0.5988  9 Rh 2.64-2.66, 3 Mn 2.64-2.65
Rh: 0.7995 0.5988 0.8022  9 Rh 2.64-2.66, 3 Mn 2.64-2.65
Mn: 0.0000 0.0000 0.0000  12 Rh 2.64-2.65